one.
VASP calculation (PBE) on an optimized crystal structure of HoB4Os.

abc: 3.1998 3.1998 6.7749
angles: 90.00 90.00 120.00
Sites, in units of the cell vectors:
Ho 0.0000 0.0000 0.0000
B 0.3333 0.6667 0.2782
B 0.3333 0.6667 0.7218
B 0.6667 0.3333 0.2782
B 0.6667 0.3333 0.7218
Os 0.0000 0.0000 0.5000



two.
VASP calculation (PBE) on an optimized crystal structure of HoB4Os.

abc: 5.9511 11.5091 3.5543
angles: 90.00 90.00 90.00
Sites, in units of the cell vectors:
Ho 0.1282 0.1501 0.0000
Ho 0.3718 0.6501 0.0000
Ho 0.6282 0.3499 0.0000
Ho 0.8718 0.8499 0.0000
B 0.0256 0.6916 0.5000
B 0.1128 0.5469 0.5000
B 0.1358 0.9699 0.5000
B 0.2105 0.8141 0.5000
B 0.2895 0.3141 0.5000
B 0.3642 0.4699 0.5000
B 0.3872 0.0469 0.5000
B 0.4744 0.1916 0.5000
B 0.5256 0.8084 0.5000
B 0.6128 0.9531 0.5000
B 0.6358 0.5301 0.5000
B 0.7105 0.6859 0.5000
B 0.7895 0.1859 0.5000
B 0.8642 0.0301 0.5000
B 0.8872 0.4531 0.5000
B 0.9744 0.3084 0.5000
Os 0.1408 0.4065 0.0000
Os 0.3592 0.9065 0.0000
Os 0.6408 0.0935 0.0000
Os 0.8592 0.5935 0.0000



Q: Which of them is the most stable? A: two.



one.
VASP calculation (PBE) on an optimized crystal structure of HoBOs.

abc: 4.3686 4.3686 4.3686
angles: 60.00 60.00 60.00
Sites, in units of the cell vectors:
Ho 0.0000 0.0000 0.0000
B 0.7500 0.7500 0.7500
Os 0.2500 0.2500 0.2500



two.
VASP calculation (PBE) on an optimized crystal structure of HoBOs.

abc: 4.0747 4.0747 4.0747
angles: 60.00 60.00 60.00
Sites, in units of the cell vectors:
Ho 0.0000 0.0000 0.0000
B 0.2500 0.2500 0.2500
Os 0.5000 0.5000 0.5000



Q: Which of them is the most stable? A: two.



one.
VASP calculation (PBE) on an optimized crystal structure of HoBPb.

abc: 4.7309 4.7309 4.7309
angles: 60.00 60.00 60.00
Sites, in units of the cell vectors:
Ho 0.0000 0.0000 0.0000
B 0.7500 0.7500 0.7500
Pb 0.2500 0.2500 0.2500



two.
VASP calculation (PBE) on an optimized crystal structure of HoBPb.

abc: 4.4745 4.4745 4.4745
angles: 60.00 60.00 60.00
Sites, in units of the cell vectors:
Ho 0.0000 0.0000 0.0000
B 0.2500 0.2500 0.2500
Pb 0.5000 0.5000 0.5000



Q: Which of them is the most stable? A: two.